First-principles (GGA-PBE) data for GaPd3Pt2 after structural relaxation, as listed in the Alexandria database.

Values from the calculation:
- Energy relative to the elements: -169 kJ/mol of formula units

Cell: 2.8695 13.5461 4.7195 Å, 90.00 90.00 90.00°
Fractional coordinates of all 12 atoms:
Ga1 0.2500 0.2500 0.1913
Ga2 0.7500 0.7500 0.8087
Pd1 0.2500 0.0816 0.5793
Pd2 0.2500 0.4184 0.5793
Pd3 0.2500 0.7500 0.3236
Pd4 0.7500 0.2500 0.6764
Pd5 0.7500 0.5816 0.4207
Pd6 0.7500 0.9184 0.4207
Pt1 0.2500 0.5922 0.9191
Pt2 0.2500 0.9078 0.9191
Pt3 0.7500 0.0922 0.0809
Pt4 0.7500 0.4078 0.0809

=====

First-principles (GGA-PBE) data for YMg2Zn after structural relaxation, as listed in the Alexandria database.

Values from the calculation:
- Energy relative to the elements: -44 kJ/mol of formula units

Cell: 6.0062 6.0062 5.0938 Å, 114.98 114.98 34.21°
Fractional coordinates of all 4 atoms:
Y1 0.0000 0.0000 0.0000
Mg1 0.2192 0.2192 0.7189
Mg2 0.7808 0.7808 0.2811
Zn1 0.5000 0.5000 0.5000

=====

First-principles (GGA-PBE) data for In2Fe after structural relaxation, as listed in the Alexandria database.

Values from the calculation:
- Energy relative to the elements: 97 kJ/mol of formula units

Cell: 7.7249 7.7249 5.0255 Å, 90.00 90.00 156.41°
Fractional coordinates of all 6 atoms:
In1 0.0603 0.9397 0.7500
In2 0.3592 0.6408 0.7500
In3 0.6408 0.3592 0.2500
In4 0.9397 0.0603 0.2500
Fe1 0.2864 0.7136 0.2500
Fe2 0.7136 0.2864 0.7500

=====

First-principles (GGA-PBE) data for LaTmTeAs after structural relaxation, as listed in the Alexandria database.

Cell: 7.9242 7.9242 7.9242 Å, 30.88 30.88 30.88°
Fractional coordinates of all 4 atoms:
La1 0.0000 0.0000 0.0000
Tm1 0.1892 0.1892 0.1892
Te1 0.4326 0.4326 0.4326
As1 0.5901 0.5901 0.5901

=====

First-principles (GGA-PBE) data for RbHfUO6 after structural relaxation, as listed in the Alexandria database.

Cell: 7.7727 7.7727 7.7727 Å, 121.07 118.03 90.80°
Fractional coordinates of all 18 atoms:
Rb1 0.3454 0.0954 0.2500
Rb2 0.6546 0.9046 0.7500
Hf1 0.0000 0.0000 0.5000
Hf2 0.0000 0.5000 0.0000
U1 0.0000 0.5000 0.5000
U2 0.5000 0.5000 0.0000
O1 0.0580 0.4317 0.2463
O2 0.0580 0.8117 0.6263
O3 0.0647 0.8147 0.2500
O4 0.3146 0.1883 0.7463
O5 0.3146 0.5683 0.1263
O6 0.3184 0.5684 0.7500
O7 0.6816 0.4316 0.2500
O8 0.6854 0.4317 0.8737
O9 0.6854 0.8117 0.2537
O10 0.9353 0.1853 0.7500
O11 0.9420 0.1883 0.3737
O12 0.9420 0.5683 0.7537

=====

First-principles (GGA-PBE) data for OsRu2W after structural relaxation, as listed in the Alexandria database.

Values from the calculation:
- Energy relative to the elements: 5 kJ/mol of formula units

Cell: 3.8664 3.8664 4.7532 Å, 113.90 113.90 90.01°
Fractional coordinates of all 4 atoms:
Os1 0.0000 0.0000 0.0000
Ru1 0.2500 0.7500 0.5000
Ru2 0.7500 0.2500 0.5000
W1 0.5000 0.5000 0.0000

=====

First-principles (GGA-PBE) data for LiPuCdHg after structural relaxation, as listed in the Alexandria database.

Values from the calculation:
- Energy relative to the elements: -24 kJ/mol of formula units

Cell: 5.1459 5.1459 5.1459 Å, 60.00 60.00 60.00°
Fractional coordinates of all 4 atoms:
Li1 0.0000 0.0000 0.0000
Pu1 0.5000 0.5000 0.5000
Cd1 0.7500 0.7500 0.7500
Hg1 0.2500 0.2500 0.2500

=====

First-principles (GGA-PBE) data for Li2AgPd2 after structural relaxation, as listed in the Alexandria database.

Values from the calculation:
- Energy relative to the elements: -104 kJ/mol of formula units

Cell: 4.7375 4.7375 4.7375 Å, 128.03 112.40 90.16°
Fractional coordinates of all 5 atoms:
Li1 0.2102 0.0000 0.2102
Li2 0.7898 0.0000 0.7898
Ag1 0.5000 0.5000 0.0000
Pd1 0.2020 0.7020 0.5000
Pd2 0.7980 0.2980 0.5000

=====

First-principles (GGA-PBE) data for UBOs after structural relaxation, as listed in the Alexandria database.

Values from the calculation:
- Energy relative to the elements: -66 kJ/mol of formula units

Cell: 6.5467 6.5467 4.4910 Å, 98.91 98.91 25.75°
Fractional coordinates of all 6 atoms:
U1 0.0534 0.0534 0.2718
U2 0.9466 0.9466 0.7282
B1 0.2678 0.2678 0.6287
B2 0.7322 0.7322 0.3713
Os1 0.3275 0.3275 0.1795
Os2 0.6725 0.6725 0.8204

=====

First-principles (GGA-PBE) data for NaCeBe2H8 after structural relaxation, as listed in the Alexandria database.

Cell: 7.1105 7.1105 7.1105 Å, 36.62 36.62 36.62°
Fractional coordinates of all 12 atoms:
Na1 0.0000 0.0000 0.0000
Ce1 0.5000 0.5000 0.5000
Be1 0.2445 0.2445 0.2445
Be2 0.7555 0.7555 0.7555
H1 0.0766 0.6414 0.4915
H2 0.1695 0.1695 0.1695
H3 0.3586 0.5085 0.9234
H4 0.4915 0.0766 0.6414
H5 0.5085 0.9234 0.3586
H6 0.6414 0.4915 0.0766
H7 0.8305 0.8305 0.8305
H8 0.9234 0.3586 0.5085

=====

First-principles (GGA-PBE) data for Na3Y4Te8 after structural relaxation, as listed in the Alexandria database.

Cell: 8.8318 8.8318 8.7312 Å, 119.13 119.13 90.81°
Fractional coordinates of all 15 atoms:
Na1 0.0000 0.0000 0.0000
Na2 0.0000 0.5000 0.0000
Na3 0.5000 0.0000 0.0000
Y1 0.0000 0.5000 0.5000
Y2 0.5000 0.0000 0.5000
Y3 0.5000 0.5000 0.0000
Y4 0.5000 0.5000 0.5000
Te1 0.2501 0.2501 0.5072
Te2 0.2534 0.7466 0.5000
Te3 0.2543 0.7457 0.0000
Te4 0.2633 0.2633 0.0152
Te5 0.7367 0.7367 0.9848
Te6 0.7457 0.2543 0.0000
Te7 0.7466 0.2534 0.5000
Te8 0.7499 0.7499 0.4928

=====

First-principles (GGA-PBE) data for Rb2GaPBr6 after structural relaxation, as listed in the Alexandria database.

Cell: 7.7586 7.7586 7.7586 Å, 119.96 119.96 90.08°
Fractional coordinates of all 10 atoms:
Rb1 0.2500 0.7500 0.5000
Rb2 0.7500 0.2500 0.5000
Ga1 0.0000 0.0000 0.0000
P1 0.5000 0.5000 0.0000
Br1 0.2621 0.2621 0.0000
Br2 0.2627 0.2627 0.5255
Br3 0.2627 0.7373 0.0000
Br4 0.7373 0.2627 0.0000
Br5 0.7373 0.7373 0.4745
Br6 0.7379 0.7379 0.0000

=====

| no. | calculated volume (Å³/cell) | density (Mg/m³) | final energy (eV/atom) |
| --- | --- | --- | --- |
| 1 | 183.45 | 14.11 | -5.4069 |
| 2 | 92.69 | 3.64 | -2.8451 |
| 3 | 120.01 | 7.90 | -4.3117 |
| 4 | 116.27 | 7.29 | -5.7602 |
| 5 | 333.99 | 5.95 | -8.5625 |
| 6 | 58.23 | 16.43 | -10.6705 |
| 7 | 96.36 | 9.72 | -4.4275 |
| 8 | 73.20 | 7.59 | -3.6292 |
| 9 | 82.55 | 17.66 | -9.9602 |
| 10 | 114.54 | 2.74 | -3.7466 |
| 11 | 490.73 | 4.89 | -4.8635 |
| 12 | 330.46 | 3.77 | -2.9711 |